Entry 1:
Here is crystalline Ta2TiO6 at its relaxed geometry from the Alexandria database. Energies are from GGA-PBE.

Values from the calculation:
Calculated density = 7.288 g/cm³
Raw total energy = -9.45 eV/atom
Formation energy without anion corrections = -2631.5 meV/atom
Distance to the lowest polymorph of the same formula = 1.253 eV/f.u.

Lattice parameters (Å, degrees): 3.7857 5.3436 6.6913 67.50 73.57 69.25
Fractional positions:
Ta: 0.1822 0.7758 0.8597
Ta: 0.8178 0.2242 0.1403
Ti: 0.0000 0.5000 0.5000
O: 0.6972 0.6707 0.9349
O: 0.3028 0.3293 0.0651
O: 0.9834 0.8247 0.2085
O: 0.3537 0.6965 0.5960
O: 0.0166 0.1753 0.7915
O: 0.6463 0.3035 0.4040

***

Entry 2:
Here is crystalline TaTi3O at its relaxed geometry from the Alexandria database. Energies are from GGA-PBE.

Values from the calculation:
Calculated density = 5.071 g/cm³
Raw total energy = -6.65 eV/atom
Formation energy without anion corrections = 1445.1 meV/atom
Distance to the lowest polymorph of the same formula = 12.516 eV/f.u.

Lattice parameters (Å, degrees): 4.8134 4.8134 4.8134 90.00 90.00 90.00
Fractional positions:
Ti: 0.0000 0.5000 0.0000
Ti: 0.0000 0.0000 0.5000
Ti: 0.5000 0.0000 0.0000
O: 0.5000 0.5000 0.5000
Ta: 0.0000 0.0000 0.0000

***

Entry 3:
Here is crystalline TaTi3O at its relaxed geometry from the Alexandria database. Energies are from GGA-PBE.

Values from the calculation:
Calculated density = 7.679 g/cm³
Raw total energy = -9.14 eV/atom
Formation energy without anion corrections = -1042.4 meV/atom
Distance to the lowest polymorph of the same formula = 0.078 eV/f.u.

Lattice parameters (Å, degrees): 4.7611 5.2934 5.8841 83.29 90.00 90.00
Fractional positions:
Ta: 0.4253 0.3245 0.7466
Ta: 0.9253 0.0283 0.1549
Ti: 0.4354 0.3301 0.2441
Ti: 0.3896 0.8208 0.9625
Ti: 0.9551 0.5293 0.4398
Ti: 0.9353 0.0226 0.6575
Ti: 0.8897 0.5319 0.9391
Ti: 0.4551 0.8234 0.4617
O: 0.1727 0.6755 0.6999
O: 0.6727 0.6773 0.2016